# 1
Material: CoSbP2S
Method: DFT, PBE
State: optimized geometry

Cell: 5.027 5.027 4.942 Å, 90.00 90.00 90.00°
Element x y z (fractional)
Co (0.000, 0.000, 0.000)
Sb (0.500, 0.500, 0.500)
P (0.000, 0.500, 0.500)
P (0.500, 0.000, 0.500)
S (0.500, 0.500, 0.000)

Output
Density (g/cm3): 3.7
Uncorrected formation energy (meV/atom): 1490.9
Magnetic moment (μB/cell): 2.66



# 2
Material: CoP2SeS
Method: DFT, PBE
State: optimized geometry

Cell: 4.149 4.149 5.261 Å, 90.00 90.00 90.00°
Element x y z (fractional)
Co (0.000, 0.000, 0.000)
P (0.000, 0.500, 0.000)
P (0.500, 0.000, 0.000)
Se (0.000, 0.000, 0.500)
S (0.500, 0.500, 0.500)

Output
Density (g/cm3): 4.3
Uncorrected formation energy (meV/atom): 575.3
Magnetic moment (μB/cell): 0.00